[1]
Density functional theory data (PBE-GGA) for La8Zn3GeBr4 after structural relaxation.

a = 8.800 Å, b = 8.800 Å, c = 8.800 Å
α = 60.26°, β = 60.26°, γ = 60.26°
Fractional positions:
La (0.247, 0.247, 0.247)
La (0.251, 0.743, 0.743)
La (0.257, 0.257, 0.749)
La (0.257, 0.749, 0.257)
La (0.743, 0.251, 0.743)
La (0.743, 0.743, 0.251)
La (0.749, 0.257, 0.257)
La (0.753, 0.753, 0.753)
Zn (0.000, 0.000, 0.500)
Zn (0.000, 0.500, 0.000)
Zn (0.500, 0.000, 0.000)
Ge (0.500, 0.500, 0.500)
Br (0.000, 0.000, 0.000)
Br (0.000, 0.500, 0.500)
Br (0.500, 0.000, 0.500)
Br (0.500, 0.500, 0.000)

Calculated values
Formation energy without anion corrections, meV/atom: -864
M_tot, μB/f.u.: 0.00
Space-group type: No. 166

[2]
Density functional theory data (PBE-GGA) for Pm4Sm15Th after structural relaxation.

a = 5.142 Å, b = 5.142 Å, c = 25.663 Å
α = 90.00°, β = 90.00°, γ = 90.00°
Fractional positions:
Pm (0.000, 0.000, 0.100)
Pm (0.000, 0.000, 0.301)
Pm (0.000, 0.000, 0.699)
Pm (0.000, 0.000, 0.900)
Sm (0.000, 0.500, 0.000)
Sm (0.000, 0.500, 0.201)
Sm (0.000, 0.500, 0.402)
Sm (0.000, 0.500, 0.598)
Sm (0.000, 0.500, 0.799)
Sm (0.500, 0.000, 0.000)
Sm (0.500, 0.000, 0.201)
Sm (0.500, 0.000, 0.402)
Sm (0.500, 0.000, 0.598)
Sm (0.500, 0.000, 0.799)
Sm (0.500, 0.500, 0.100)
Sm (0.500, 0.500, 0.300)
Sm (0.500, 0.500, 0.500)
Sm (0.500, 0.500, 0.700)
Sm (0.500, 0.500, 0.900)
Th (0.000, 0.000, 0.500)

Calculated values
M_tot, μB/f.u.: 0.00
Formation enthalpy at 0 K, eV/atom: 0.023
Space-group type: No. 123

[3]
Density functional theory data (PBE-GGA) for LaPdCl2 after structural relaxation.

a = 8.790 Å, b = 8.790 Å, c = 8.790 Å
α = 24.92°, β = 24.92°, γ = 24.92°
Fractional positions:
La (0.000, 0.000, 0.000)
Pd (0.500, 0.500, 0.500)
Cl (0.408, 0.408, 0.408)
Cl (0.592, 0.592, 0.592)

Calculated values
Formation energy without anion corrections, meV/atom: -1038
Excess energy over the best structure of this formula in the dataset, eV/atom: 0.145
M_tot, μB/f.u.: 0.00
Space-group type: No. 166

[4]
Density functional theory data (PBE-GGA) for Pm4Se3Br after structural relaxation.

a = 4.163 Å, b = 4.163 Å, c = 28.543 Å
α = 90.00°, β = 90.00°, γ = 120.00°
Fractional positions:
Pm (0.000, 0.000, 0.176)
Pm (0.000, 0.000, 0.324)
Pm (0.000, 0.000, 0.676)
Pm (0.000, 0.000, 0.824)
Pm (0.333, 0.667, 0.064)
Pm (0.333, 0.667, 0.436)
Pm (0.667, 0.333, 0.564)
Pm (0.667, 0.333, 0.936)
Se (0.000, 0.000, 0.000)
Se (0.000, 0.000, 0.500)
Se (0.333, 0.667, 0.621)
Se (0.333, 0.667, 0.879)
Se (0.667, 0.333, 0.121)
Se (0.667, 0.333, 0.379)
Br (0.333, 0.667, 0.250)
Br (0.667, 0.333, 0.750)

Calculated values
Formation energy without anion corrections, meV/atom: -1640
M_tot, μB/f.u.: 0.00
Space-group type: No. 194

[5]
Density functional theory data (PBE-GGA) for Nd6SmHo after structural relaxation.

a = 5.167 Å, b = 5.167 Å, c = 10.334 Å
α = 90.00°, β = 90.00°, γ = 90.00°
Fractional positions:
Nd (0.000, 0.000, 0.000)
Nd (0.000, 0.000, 0.500)
Nd (0.000, 0.500, 0.248)
Nd (0.000, 0.500, 0.752)
Nd (0.500, 0.000, 0.248)
Nd (0.500, 0.000, 0.752)
Sm (0.500, 0.500, 0.500)
Ho (0.500, 0.500, 0.000)

Calculated values
M_tot, μB/f.u.: 0.00
Formation enthalpy at 0 K, eV/atom: 0.015
Space-group type: No. 123

[6]
Density functional theory data (PBE-GGA) for Rb3YCl6 after structural relaxation.

a = 7.812 Å, b = 8.226 Å, c = 13.519 Å
α = 90.00°, β = 124.55°, γ = 90.00°
Fractional positions:
Rb (0.000, 0.000, 0.000)
Rb (0.000, 0.500, 0.500)
Rb (0.219, 0.067, 0.745)
Rb (0.219, 0.433, 0.245)
Rb (0.781, 0.567, 0.755)
Rb (0.781, 0.933, 0.255)
Y (0.500, 0.000, 0.500)
Y (0.500, 0.500, 0.000)
Cl (0.175, 0.178, 0.448)
Cl (0.175, 0.322, 0.948)
Cl (0.261, 0.734, 0.428)
Cl (0.261, 0.766, 0.928)
Cl (0.399, 0.052, 0.279)
Cl (0.399, 0.448, 0.779)
Cl (0.601, 0.552, 0.221)
Cl (0.601, 0.948, 0.721)
Cl (0.739, 0.234, 0.072)
Cl (0.739, 0.266, 0.572)
Cl (0.825, 0.678, 0.052)
Cl (0.825, 0.822, 0.552)

Calculated values
Formation energy without anion corrections, meV/atom: -2140
M_tot, μB/f.u.: 0.00
Space-group type: No. 14

> Which value of M_tot does entry 1 give?

0.00 μB/f.u.